# 1
Pu2SiP4 after structural relaxation, computed with PBE.

Calculated values
For the formation energy from raw total energies, the calculation gives -0.63 eV per atom.

a b c (Å): 6.615 5.379 7.943
angles (deg): 90.00 107.11 90.00
Space group P2_1/m (No. 11)
Asymmetric unit:
Pu  0.231  0.250  0.436 [2 per cell]
Pu  0.243  0.250  0.939 [2 per cell]
Si  0.250  0.750  0.190 [2 per cell]
P  0.079  0.750  0.394 [2 per cell]
P  0.091  0.750  0.899 [2 per cell]
P  0.477  0.525  0.741 [4 per cell]

=====

# 2
HoTl2TeO6 after structural relaxation, computed with PBE.

Calculated values
For the formation energy from raw total energies, the calculation gives -1.51 eV per atom.

a b c (Å): 8.379 8.379 8.379
angles (deg): 90.00 90.00 90.00
Space group Fm-3m (No. 225)
Asymmetric unit:
Ho  0.000  0.000  0.000 [4 per cell]
Tl  0.250  0.250  0.250 [8 per cell]
Te  0.000  0.000  0.500 [4 per cell]
O  0.000  0.000  0.267 [24 per cell]

=====

# 3
Dy3Y8Tm4 after structural relaxation, computed with PBE.

Calculated values
As for the energy of formation from the pure elements: 0.4114 eV per atom. The energy above the most stable polymorph in this dataset comes out at 244.1 meV/atom.

a b c (Å): 13.335 12.771 6.707
angles (deg): 90.00 119.87 90.00
Space group C2/m (No. 12)
Asymmetric unit:
Dy  0.000  0.000  0.000 [2 per cell]
Dy  0.250  0.250  0.000 [4 per cell]
Y  0.000  0.144  0.500 [4 per cell]
Y  0.000  0.251  0.000 [4 per cell]
Y  0.230  0.000  0.948 [4 per cell]
Y  0.240  0.000  0.478 [4 per cell]
Tm  0.000  0.500  0.000 [2 per cell]
Tm  0.000  0.500  0.500 [2 per cell]
Tm  0.250  0.250  0.500 [4 per cell]

=====

# 4
Cu3AuN after structural relaxation, computed with PBE.

Calculated values
For the formation energy from raw total energies, the calculation gives 0.20 eV per atom. The energy above the most stable polymorph in this dataset comes out at 0.0 meV/atom.

a b c (Å): 3.947 3.947 3.947
angles (deg): 90.00 90.00 90.00
Space group Pm-3m (No. 221)
Asymmetric unit:
Cu  0.000  0.000  0.500 [3 per cell]
Au  0.500  0.500  0.500 [1 per cell]
N  0.000  0.000  0.000 [1 per cell]